A geometry-optimized LiBi2PbS4 structure, computed with GGA-PBE.

Unit cell a=7.394 b=7.394 c=13.946 alpha=90.00 beta=90.00 gamma=149.41
Positions (direct):
1 Li 0.161 0.839 0.750
2 Li 0.839 0.161 0.250
3 Bi 0.365 0.635 0.057
4 Bi 0.365 0.635 0.443
5 Bi 0.635 0.365 0.557
6 Bi 0.635 0.365 0.943
7 Pb 0.104 0.896 0.250
8 Pb 0.896 0.104 0.750
9 S 0.000 0.000 0.000
10 S 0.000 0.000 0.500
11 S 0.281 0.719 0.623
12 S 0.281 0.719 0.877
13 S 0.440 0.560 0.250
14 S 0.560 0.440 0.750
15 S 0.719 0.281 0.123
16 S 0.719 0.281 0.377

**E_form (uncorrected)**: -10.95 kcal/mol of atoms
**Magnetic moment**: 0.00 μB/f.u.
**Uncorrected energy**: -67.4 eV per cell